No. 1
{
  "formula": "YPuMgCd",
  "functional": "PBE-GGA",
  "state": "relaxed",
  "lattice_angstrom": [[0.000, 3.777, 3.777], [3.777, 0.000, 3.777], [3.777, 3.777, 0.000]],
  "species": ["Y", "Pu", "Mg", "Cd"],
  "fractional_positions": [[0.000, 0.000, 0.000], [0.500, 0.500, 0.500], [0.250, 0.250, 0.250], [0.750, 0.750, 0.750]],
  "spacegroup": "No. 216",
  "formation_enthalpy_0k_ev_per_atom": -0.010
}

No. 2
{
  "formula": "RbMg2Cd",
  "functional": "PBE-GGA",
  "state": "relaxed",
  "lattice_angstrom": [[-3.006, 3.006, 9.758], [3.006, -3.006, 9.758], [3.006, 3.006, -9.758]],
  "species": ["Rb", "Rb", "Mg", "Mg", "Mg", "Mg", "Cd", "Cd"],
  "fractional_positions": [[0.375, 0.625, 0.750], [0.625, 0.375, 0.250], [0.000, 0.000, 0.000], [0.000, 0.000, 0.500], [0.000, 0.500, 0.000], [0.500, 0.000, 0.500], [0.125, 0.875, 0.250], [0.875, 0.125, 0.750]],
  "spacegroup": "No. 141",
  "formation_enthalpy_0k_ev_per_atom": 0.241
}

No. 3
{
  "formula": "RbMg6Cd8",
  "functional": "PBE-GGA",
  "state": "relaxed",
  "lattice_angstrom": [[4.383, 2.531, 5.672], [-4.383, 2.531, 5.672], [0.000, -5.061, 5.672]],
  "species": ["Rb", "Mg", "Mg", "Mg", "Mg", "Mg", "Mg", "Cd", "Cd", "Cd", "Cd", "Cd", "Cd", "Cd", "Cd"],
  "fractional_positions": [[0.000, 0.000, 0.000], [0.166, 0.584, 0.358], [0.358, 0.166, 0.584], [0.416, 0.642, 0.834], [0.584, 0.358, 0.166], [0.642, 0.834, 0.416], [0.834, 0.416, 0.642], [0.136, 0.464, 0.805], [0.195, 0.864, 0.536], [0.226, 0.226, 0.226], [0.464, 0.805, 0.136], [0.536, 0.195, 0.864], [0.774, 0.774, 0.774], [0.805, 0.136, 0.464], [0.864, 0.536, 0.195]],
  "spacegroup": "No. 148",
  "formation_enthalpy_0k_ev_per_atom": 0.013
}

No. 4
{
  "formula": "RbMg14Cd",
  "functional": "PBE-GGA",
  "state": "relaxed",
  "lattice_angstrom": [[10.728, 0.000, 0.000], [0.000, 3.287, 5.671], [0.000, -3.287, 5.671]],
  "species": ["Rb", "Mg", "Mg", "Mg", "Mg", "Mg", "Mg", "Mg", "Mg", "Mg", "Mg", "Mg", "Mg", "Mg", "Mg", "Cd"],
  "fractional_positions": [[0.000, 0.000, 0.000], [0.000, 0.507, 0.986], [0.000, 0.986, 0.507], [0.237, 0.336, 0.336], [0.264, 0.344, 0.830], [0.264, 0.830, 0.344], [0.265, 0.830, 0.830], [0.500, 0.002, 0.002], [0.500, 0.010, 0.498], [0.500, 0.498, 0.010], [0.500, 0.499, 0.499], [0.735, 0.830, 0.830], [0.736, 0.344, 0.830], [0.736, 0.830, 0.344], [0.763, 0.336, 0.336], [0.000, 0.507, 0.507]],
  "spacegroup": "No. 38",
  "formation_enthalpy_0k_ev_per_atom": 0.110
}

No. 5
{
  "formula": "RbMgCd2",
  "functional": "PBE-GGA",
  "state": "relaxed",
  "lattice_angstrom": [[-2.921, 2.921, 9.981], [2.921, -2.921, 9.981], [2.921, 2.921, -9.981]],
  "species": ["Rb", "Rb", "Mg", "Mg", "Cd", "Cd", "Cd", "Cd"],
  "fractional_positions": [[0.375, 0.625, 0.750], [0.625, 0.375, 0.250], [0.125, 0.875, 0.250], [0.875, 0.125, 0.750], [0.000, 0.000, 0.000], [0.000, 0.000, 0.500], [0.000, 0.500, 0.000], [0.500, 0.000, 0.500]],
  "spacegroup": "No. 141",
  "formation_enthalpy_0k_ev_per_atom": 0.119
}

No. 6
{
  "formula": "RbMgCd2",
  "functional": "PBE-GGA",
  "state": "relaxed",
  "lattice_angstrom": [[3.869, 0.000, 0.000], [0.000, 3.869, 0.000], [0.000, 0.000, 8.489]],
  "species": ["Rb", "Mg", "Cd", "Cd"],
  "fractional_positions": [[0.000, 0.000, 0.000], [0.000, 0.000, 0.500], [0.500, 0.500, 0.322], [0.500, 0.500, 0.678]],
  "spacegroup": "No. 123",
  "formation_enthalpy_0k_ev_per_atom": 0.017
}